Record 1
The following is a PBE calculation of crystalline ThTlN at its relaxed geometry, from the Alexandria database.

extended XYZ file:
```
6
Lattice="4.120 0.000 0.199 0.000 4.125 0.000 -0.398 -0.001 8.481" Properties=species:S:1:pos:R:3 pbc="T T T"
N 3.320 2.613 0.844
N 1.260 0.551 0.744
Tl 3.157 0.550 4.286
Tl 1.025 2.613 5.784
Th 1.206 2.613 1.868
Th 2.976 0.550 8.201
```

Results
energy above the lowest structure with this stoichiometry = 0.000 eV/atom
N(E_F) = 0.5624 states/eV/atom
E_form (uncorrected) = -1.11 eV/atom

---

Record 2
The following is a PBE calculation of crystalline Rb2Nb2Cr at its relaxed geometry, from the Alexandria database.

extended XYZ file:
```
10
Lattice="-3.032 4.033 -4.033 1.910 -3.585 -5.022 -5.668 -3.744 0.517" Properties=species:S:1:pos:R:3 pbc="T T T"
Nb 0.589 -1.647 -5.462
Nb 0.095 -0.466 -2.339
Nb -1.216 0.914 -6.715
Nb -1.711 2.094 -3.592
Cr 0.000 0.000 0.000
Cr -0.561 0.224 -4.527
Rb -4.705 0.286 -4.622
Rb -3.442 -1.255 -1.939
Rb -2.085 -3.582 -3.915
Rb -3.348 -2.041 -6.598
```

Results
energy above the lowest structure with this stoichiometry = 0.000 eV/atom
N(E_F) = 0.8996 states/eV/atom
energy of formation from the pure elements = 1.229 eV per atom

---

Record 3
The following is a PBE calculation of crystalline AcTmC at its relaxed geometry, from the Alexandria database.

extended XYZ file:
```
3
Lattice="-1.511 -2.565 2.213 3.046 -0.802 -1.959 3.820 2.124 5.068" Properties=species:S:1:pos:R:3 pbc="T T T"
C 1.393 -1.207 2.661
Tm 3.553 -0.263 2.120
Ac 0.408 0.227 0.542
```

Results
energy above the lowest structure with this stoichiometry = 0.000 eV/atom
N(E_F) = 0.8930 states/eV/atom
energy of formation from the pure elements = -0.050 eV per atom

---

Record 4
The following is a PBE calculation of crystalline TaTeI3 at its relaxed geometry, from the Alexandria database.

extended XYZ file:
```
10
Lattice="8.138 -0.158 1.575 -4.133 7.013 -1.575 -2.624 -3.064 7.243" Properties=species:S:1:pos:R:3 pbc="T T T"
I 6.219 1.239 2.431
I -3.939 4.864 0.620
I -0.585 2.904 5.048
I 2.410 1.154 2.536
I -4.597 2.962 4.812
I -2.801 -0.398 4.707
Te 1.497 -0.669 6.369
Te 0.064 4.767 0.874
Ta -1.765 3.776 -0.616
Ta 1.532 -2.748 7.859
```

Results
E_form (uncorrected) = -0.31 eV/atom

---

Record 5
The following is a PBE calculation of crystalline Na2Zn2CdPd5 at its relaxed geometry, from the Alexandria database.

extended XYZ file:
```
20
Lattice="3.805 0.000 0.000 0.000 9.614 0.000 0.000 0.000 9.614" Properties=species:S:1:pos:R:3 pbc="T T T"
Cd 0.000 0.000 0.000
Cd 0.000 4.807 4.807
Pd 1.902 4.158 2.826
Pd 1.902 5.456 6.788
Pd 1.902 1.981 0.649
Pd 1.902 8.965 1.981
Pd 1.902 2.826 5.456
Pd 1.902 7.633 8.965
Pd 1.902 4.807 0.000
Pd 1.902 0.649 7.633
Pd 1.902 0.000 4.807
Pd 1.902 6.788 4.158
Zn 0.000 8.417 3.610
Zn 0.000 3.610 1.197
Zn 0.000 6.004 8.417
Zn 0.000 1.197 6.004
Na 0.000 1.676 3.131
Na 0.000 6.483 1.676
Na 0.000 3.131 7.938
Na 0.000 7.938 6.483
```

Results
N(E_F) = 0.2646 states/eV/atom
energy of formation from the pure elements = -0.324 eV per atom

---

Record 6
The following is a PBE calculation of crystalline PrGdTmZn at its relaxed geometry, from the Alexandria database.

extended XYZ file:
```
4
Lattice="-1.221 -1.323 5.091 -3.030 -4.355 1.005 2.222 -4.371 2.261" Properties=species:S:1:pos:R:3 pbc="T T T"
Tm -1.522 -7.537 6.268
Pr 0.000 0.000 0.000
Zn -0.507 -2.512 2.089
Gd -1.015 -5.025 4.178
```

Results
N(E_F) = 1.1900 states/eV/atom
energy of formation from the pure elements = 0.014 eV per atom

---

Record 7
The following is a PBE calculation of crystalline CrSiNi4 at its relaxed geometry, from the Alexandria database.

extended XYZ file:
```
6
Lattice="-0.330 -2.104 4.128 -3.811 -2.431 1.069 0.200 -4.633 0.267" Properties=species:S:1:pos:R:3 pbc="T T T"
Ni -0.559 -4.515 2.880
Ni -2.462 -5.729 3.414
Ni -2.297 -4.678 1.353
Ni -2.562 -3.415 3.281
Cr 0.000 0.000 0.000
Si -0.985 -2.292 1.366
```

Results
N(E_F) = 1.4675 states/eV/atom
E_form (uncorrected) = 0.05 eV/atom

---

Record 8
The following is a PBE calculation of crystalline CuAsPd3 at its relaxed geometry, from the Alexandria database.

extended XYZ file:
```
5
Lattice="-1.118 -1.584 -4.197 3.532 -2.978 0.183 -2.766 -3.162 1.930" Properties=species:S:1:pos:R:3 pbc="T T T"
As 0.000 0.000 0.000
Pd -1.383 -1.581 0.965
Pd 1.766 -1.489 0.091
Pd -0.559 -0.792 -2.099
Cu -0.176 -3.862 -1.042
```

Results
energy above the lowest structure with this stoichiometry = 0.561 eV/atom
N(E_F) = 0.5119 states/eV/atom
energy of formation from the pure elements = 0.325 eV per atom

---

Record 9
The following is a PBE calculation of crystalline PuSbPbAu at its relaxed geometry, from the Alexandria database.

extended XYZ file:
```
4
Lattice="4.482 0.000 0.000 0.000 4.414 0.000 0.000 0.000 5.072" Properties=species:S:1:pos:R:3 pbc="T T T"
Pb 0.000 0.000 0.000
Sb 0.000 2.207 2.536
Au 2.241 2.207 0.000
Pu 2.241 0.000 2.536
```

Results
energy above the lowest structure with this stoichiometry = 0.000 eV/atom
N(E_F) = 2.7339 states/eV/atom
E_form (uncorrected) = -0.34 eV/atom

---

Record 10
The following is a PBE calculation of crystalline CrGaMo at its relaxed geometry, from the Alexandria database.

extended XYZ file:
```
6
Lattice="-2.987 0.500 2.925 2.090 -0.778 2.267 3.098 5.822 -0.857" Properties=species:S:1:pos:R:3 pbc="T T T"
Mo 3.890 5.260 1.565
Mo -1.690 0.284 2.770
Ga 1.897 3.616 2.838
Ga 0.304 1.928 1.497
Cr -0.108 1.931 4.107
Cr 2.308 3.613 0.228
```

Results
energy above the lowest structure with this stoichiometry = 0.056 eV/atom
N(E_F) = 0.6862 states/eV/atom
energy of formation from the pure elements = 0.023 eV per atom

---

Record 11
The following is a PBE calculation of crystalline K2CoICl at its relaxed geometry, from the Alexandria database.

extended XYZ file:
```
5
Lattice="-2.615 -4.646 -4.047 5.024 -4.153 1.520 -3.165 -2.169 4.535" Properties=species:S:1:pos:R:3 pbc="T T T"
Co -0.378 -5.484 1.004
K -1.308 -2.323 -2.023
K 2.512 -2.076 0.760
I 0.000 0.000 0.000
Cl -1.582 -1.084 2.268
```

Results
N(E_F) = 6.2394 states/eV/atom
E_form (uncorrected) = 0.12 eV/atom

---

Record 12
The following is a PBE calculation of crystalline ScReIr at its relaxed geometry, from the Alexandria database.

extended XYZ file:
```
3
Lattice="4.327 0.000 0.000 2.164 3.748 0.000 2.164 1.249 3.533" Properties=species:S:1:pos:R:3 pbc="T T T"
Sc 6.491 3.748 2.650
Re 4.327 2.498 1.767
Ir 0.000 0.000 0.000
```

Results
energy above the lowest structure with this stoichiometry = 1.246 eV/atom
N(E_F) = 1.4539 states/eV/atom
energy of formation from the pure elements = 0.932 eV per atom